BaSmMgAg, relaxed, DFT PBE; SG = No. 216
1.0
0.000 3.999 3.999
3.999 0.000 3.999
3.999 3.999 0.000
Ba Sm Mg Ag
1 1 1 1
direct
0.000 0.000 0.000
0.500 0.500 0.500
0.750 0.750 0.750
0.250 0.250 0.250

***

Ba2Mg3AgSn4, relaxed, DFT PBE; SG = No. 115
1.0
4.911 0.000 0.000
0.000 4.911 0.000
0.000 0.000 12.057
Ba Mg Ag Sn
2 3 1 4
direct
0.000 0.500 0.242
0.500 0.000 0.758
0.000 0.000 0.000
0.000 0.500 0.637
0.500 0.000 0.363
0.500 0.500 0.000
0.000 0.000 0.500
0.000 0.500 0.871
0.500 0.000 0.129
0.500 0.500 0.500

***

BaMg2Ag2Sn2, relaxed, DFT PBE; SG = No. 166
1.0
2.394 1.382 9.177
-2.394 1.382 9.177
0.000 -2.765 9.177
Ba Mg Ag Sn
1 2 2 2
direct
0.000 0.000 0.000
0.139 0.139 0.139
0.861 0.861 0.861
0.442 0.442 0.442
0.558 0.558 0.558
0.250 0.250 0.250
0.750 0.750 0.750

***

BaMg4AgSn2, relaxed, DFT PBE; SG = No. 166
1.0
2.489 1.437 9.889
-2.489 1.437 9.889
0.000 -2.874 9.889
Ba Mg Ag Sn
1 4 1 2
direct
0.000 0.000 0.000
0.138 0.138 0.138
0.408 0.408 0.408
0.592 0.592 0.592
0.862 0.862 0.862
0.500 0.500 0.500
0.249 0.249 0.249
0.751 0.751 0.751

***

Ba2MgAg4Sn3, relaxed, DFT PBE; SG = No. 115
1.0
4.873 0.000 0.000
0.000 4.873 0.000
0.000 0.000 11.435
Ba Mg Ag Sn
2 1 4 3
direct
0.000 0.500 0.240
0.500 0.000 0.760
0.000 0.000 0.500
0.000 0.000 0.000
0.000 0.500 0.627
0.500 0.000 0.373
0.500 0.500 0.000
0.000 0.500 0.871
0.500 0.000 0.129
0.500 0.500 0.500

***

Ba2Mg12Ag3Sn, relaxed, DFT PBE; SG = No. 166
1.0
4.860 2.806 7.061
-4.860 2.806 7.061
0.000 -5.612 7.061
Ba Mg Ag Sn
2 12 3 1
direct
0.105 0.105 0.105
0.895 0.895 0.895
0.132 0.621 0.621
0.169 0.169 0.588
0.169 0.588 0.169
0.379 0.379 0.868
0.379 0.868 0.379
0.412 0.831 0.831
0.588 0.169 0.169
0.621 0.132 0.621
0.621 0.621 0.132
0.831 0.412 0.831
0.831 0.831 0.412
0.868 0.379 0.379
0.000 0.500 0.500
0.500 0.000 0.500
0.500 0.500 0.000
0.500 0.500 0.500

***

Ba2Mg4AgSn3, relaxed, DFT PBE; SG = No. 115
1.0
4.934 0.000 0.000
0.000 4.934 0.000
0.000 0.000 11.922
Ba Mg Ag Sn
2 4 1 3
direct
0.000 0.500 0.246
0.500 0.000 0.754
0.000 0.000 0.500
0.000 0.500 0.879
0.500 0.000 0.121
0.500 0.500 0.500
0.500 0.500 0.000
0.000 0.000 0.000
0.000 0.500 0.639
0.500 0.000 0.361

***

BaSrMg2Ag, relaxed, DFT PBE; SG = No. 123
1.0
5.481 0.000 0.000
0.000 5.481 0.000
0.000 0.000 5.918
Ba Sr Mg Ag
1 1 2 1
direct
0.000 0.000 0.000
0.500 0.500 0.000
0.000 0.500 0.500
0.500 0.000 0.500
0.500 0.500 0.500

***

BaSrMgAg, relaxed, DFT PBE; SG = No. 38
1.0
4.988 0.000 0.000
0.000 2.363 6.482
0.000 -2.363 6.482
Ba Sr Mg Ag
1 1 1 1
direct
0.000 0.000 0.000
0.500 0.285 0.285
0.000 0.709 0.709
0.500 0.593 0.593

***

Ba2SrMgAg, relaxed, DFT PBE; energy relative to the lowest polymorph listed for this composition = 0 meV/atom; SG = No. 123
1.0
6.555 0.000 0.000
0.000 6.555 0.000
0.000 0.000 5.403
Ba Sr Mg Ag
2 1 1 1
direct
0.000 0.500 0.000
0.500 0.000 0.000
0.000 0.000 0.500
0.500 0.500 0.500
0.500 0.500 0.000

***

BaSr2MgAg, relaxed, DFT PBE; energy relative to the lowest polymorph listed for this composition = 70 meV/atom; SG = No. 123
1.0
6.159 0.000 0.000
0.000 6.159 0.000
0.000 0.000 6.354
Ba Sr Mg Ag
1 2 1 1
direct
0.000 0.000 0.000
0.000 0.500 0.500
0.500 0.000 0.500
0.500 0.500 0.000
0.000 0.000 0.500

***

BaSr2MgAg, relaxed, DFT PBE; energy relative to the lowest polymorph listed for this composition = 0 meV/atom; SG = No. 123
1.0
6.241 0.000 0.000
0.000 6.241 0.000
0.000 0.000 5.466
Ba Sr Mg Ag
1 2 1 1
direct
0.000 0.000 0.000
0.000 0.500 0.500
0.500 0.000 0.500
0.500 0.500 0.000
0.500 0.500 0.500

***

Ba2SrMgAg, relaxed, DFT PBE; energy relative to the lowest polymorph listed for this composition = 61 meV/atom; SG = No. 123
1.0
6.416 0.000 0.000
0.000 6.416 0.000
0.000 0.000 6.174
Ba Sr Mg Ag
2 1 1 1
direct
0.000 0.500 0.000
0.500 0.000 0.000
0.000 0.000 0.500
0.500 0.500 0.500
0.000 0.000 0.000

***

BaMg2TcAg, relaxed, DFT PBE; SG = No. 123
1.0
5.110 0.000 0.000
0.000 5.110 0.000
0.000 0.000 5.427
Ba Mg Tc Ag
1 2 1 1
direct
0.000 0.000 0.000
0.000 0.500 0.500
0.500 0.000 0.500
0.500 0.500 0.000
0.500 0.500 0.500

***

Ba2MgTlAg, relaxed, DFT PBE; SG = No. 123
1.0
6.396 0.000 0.000
0.000 6.396 0.000
0.000 0.000 5.150
Ba Mg Tl Ag
2 1 1 1
direct
0.000 0.500 0.000
0.500 0.000 0.000
0.000 0.000 0.500
0.500 0.500 0.500
0.000 0.000 0.000

***

BaMg4Tl2Ag, relaxed, DFT PBE; SG = No. 166
1.0
2.485 1.434 10.079
-2.485 1.434 10.079
0.000 -2.869 10.079
Ba Mg Tl Ag
1 4 2 1
direct
0.000 0.000 0.000
0.138 0.138 0.138
0.411 0.411 0.411
0.589 0.589 0.589
0.862 0.862 0.862
0.251 0.251 0.251
0.749 0.749 0.749
0.500 0.500 0.500

***

Ba2Mg12TlAg3, relaxed, DFT PBE; SG = No. 166
1.0
4.859 2.805 7.114
-4.859 2.805 7.114
0.000 -5.611 7.114
Ba Mg Tl Ag
2 12 1 3
direct
0.102 0.102 0.102
0.898 0.898 0.898
0.125 0.623 0.623
0.177 0.177 0.604
0.177 0.604 0.177
0.377 0.377 0.875
0.377 0.875 0.377
0.396 0.823 0.823
0.604 0.177 0.177
0.623 0.125 0.623
0.623 0.623 0.125
0.823 0.396 0.823
0.823 0.823 0.396
0.875 0.377 0.377
0.500 0.500 0.500
0.000 0.500 0.500
0.500 0.000 0.500
0.500 0.500 0.000

***

Ba2TmMg12Ag3, relaxed, DFT PBE; SG = No. 166
1.0
4.490 2.592 7.752
-4.490 2.592 7.752
0.000 -5.185 7.752
Ba Tm Mg Ag
2 1 12 3
direct
0.085 0.085 0.085
0.915 0.915 0.915
0.500 0.500 0.500
0.037 0.663 0.663
0.270 0.270 0.624
0.270 0.624 0.270
0.337 0.337 0.963
0.337 0.963 0.337
0.376 0.730 0.730
0.624 0.270 0.270
0.663 0.037 0.663
0.663 0.663 0.037
0.730 0.376 0.730
0.730 0.730 0.376
0.963 0.337 0.337
0.000 0.500 0.500
0.500 0.000 0.500
0.500 0.500 0.000

***

BaMgZnAg3, relaxed, DFT PBE; SG = No. 63
1.0
3.592 -6.771 0.000
3.592 6.771 0.000
0.000 0.000 6.182
Ba Mg Zn Ag
2 2 2 6
direct
0.212 0.788 0.750
0.788 0.212 0.250
0.462 0.538 0.750
0.538 0.462 0.250
0.130 0.870 0.250
0.870 0.130 0.750
0.197 0.197 0.000
0.197 0.197 0.500
0.335 0.665 0.250
0.665 0.335 0.750
0.803 0.803 0.000
0.803 0.803 0.500

***

Ba2MgZn3Ag12, relaxed, DFT PBE; SG = No. 166
1.0
4.530 2.616 6.733
-4.530 2.616 6.733
0.000 -5.231 6.733
Ba Mg Zn Ag
2 1 3 12
direct
0.104 0.104 0.104
0.896 0.896 0.896
0.500 0.500 0.500
0.000 0.500 0.500
0.500 0.000 0.500
0.500 0.500 0.000
0.144 0.627 0.627
0.158 0.158 0.498
0.158 0.498 0.158
0.373 0.373 0.856
0.373 0.856 0.373
0.498 0.158 0.158
0.502 0.842 0.842
0.627 0.144 0.627
0.627 0.627 0.144
0.842 0.502 0.842
0.842 0.842 0.502
0.856 0.373 0.373

***

| no. | DFT total energy (eV per atom) | energy relative to the elements (eV per atom) | total moment (Bohr magnetons per cell) |
| --- | --- | --- | --- |
| 1 | -2.783 | -0.011 | 0.0 |
| 2 | -3.188 | -0.439 | 0.0 |
| 3 | -3.067 | -0.378 | 0.0 |
| 4 | -2.612 | -0.217 | 0.0 |
| 5 | -3.256 | -0.370 | 0.0 |
| 6 | -1.799 | 0.176 | 0.0 |
| 7 | -2.932 | -0.423 | 0.0 |
| 8 | -1.955 | -0.026 | 0.0 |
| 9 | -2.168 | -0.155 | 0.0 |
| 10 | -2.018 | -0.023 | 0.0 |
| 11 | -1.922 | 0.025 | 0.0 |
| 12 | -1.992 | -0.046 | 0.0 |
| 13 | -1.957 | 0.037 | 0.0 |
| 14 | -3.072 | 0.594 | 2.6 |
| 15 | -2.213 | -0.081 | 0.0 |
| 16 | -2.136 | -0.151 | 0.0 |
| 17 | -1.700 | 0.183 | 0.0 |
| 18 | -1.852 | 0.148 | 0.0 |
| 19 | -2.304 | -0.080 | 0.0 |
| 20 | -2.277 | 0.138 | 0.0 |